(1)
Below is a PBEsol-optimized structure of YBiCl2, with properties calculated at the SCAN level.

Lattice parameters (Å, degrees): 4.626 4.626 19.094 90.00 90.00 90.00
Space group I-42d (No. 122)
One atom of each set of equivalent atoms:
Y (0.000, 0.000, 0.000)
Bi (0.000, 0.000, 0.500)
Cl (0.223, 0.250, 0.125)

Values from the calculation:
The calculation puts the uncorrected formation energy at -480 kJ/mol of formula units. The calculation puts the spin magnetization at 0.000 μB per formula unit. The uncorrected energy comes out at -31.8392 eV/atom.

=====

(2)
Below is a PBEsol-optimized structure of Ni2SbAs, with properties calculated at the SCAN level.

Lattice parameters (Å, degrees): 3.072 3.072 6.345 90.00 90.00 90.00
Space group P4/mmm (No. 123)
One atom of each set of equivalent atoms:
Ni (0.000, 0.000, 0.205)
Sb (0.500, 0.500, 0.500)
As (0.500, 0.500, 0.000)

Values from the calculation:
The calculation puts the uncorrected formation energy at 44 kJ/mol of formula units. The calculation puts the spin magnetization at 0.000 μB per formula unit. The uncorrected energy comes out at -22.3357 eV/atom.

=====

uncorrected energy of number 2 (Ni2SbAs)?
-22.3357 eV/atom

=====

Which of these has the lowest uncorrected energy?
YBiCl2

=====

What is the formula in the second record?
Ni2SbAs